BeNbNiAg: relaxed, PBE.

The calculation puts the spin magnetization at 0.0 μB per cell. The calculation puts the total energy at -5.494 eV/atom.

The space group is F-43m (No. 216) and the conventional cell measures 6.0132, 6.0132 and 6.0132 Å, with angles of 90.00, 90.00 and 90.00 degrees. Symmetry generates all atoms from Be at (0.0000, 0.0000, 0.0000), Nb at (0.2500, 0.2500, 0.7500), Ni at (0.0000, 0.0000, 0.5000) and Ag at (0.2500, 0.2500, 0.2500).

---

NpPa3N6: relaxed, PBE.

The calculation puts the spin magnetization at 6.0 μB per cell. The calculation puts the total energy at -10.575 eV/atom.

The space group is Cmmm (No. 65) and the conventional cell measures 7.7290, 11.0285 and 3.6398 Å, with angles of 90.00, 90.00 and 90.00 degrees. Symmetry generates all atoms from Np at (0.0000, 0.0000, 0.0000), Pa at (0.0000, 0.5000, 0.0000), Pa at (0.2500, 0.2500, 0.5000), N at (0.0000, 0.1341, 0.5000) and N at (0.2106, 0.3714, 0.0000).

---

Ho2Ag: relaxed, PBE.

The calculation puts the spin magnetization at 0.3 μB per cell. The calculation puts the total energy at -2.534 eV/atom. As for the formation energy from the elements: 4.38 eV/f.u.

The space group is Fd-3m (No. 227, origin choice 2) and the conventional cell measures 12.5182, 12.5182 and 12.5182 Å, with angles of 90.00, 90.00 and 90.00 degrees. Symmetry generates all atoms from Ho at (0.0000, 0.0000, 0.0000) and Ag at (0.1250, 0.1250, 0.1250).

---

BPt5: relaxed, PBE.

The calculation puts the spin magnetization at 0.0 μB per cell. The calculation puts the total energy at -5.299 eV/atom.

The space group is P6/mmm (No. 191) and the conventional cell measures 5.2075, 5.2075 and 4.4993 Å, with angles of 90.00, 90.00 and 120.00 degrees. Symmetry generates all atoms from B at (0.0000, 0.0000, 0.0000), Pt at (0.0000, 0.5000, 0.5000) and Pt at (0.3333, 0.6667, 0.0000).

---

Tm2CdIBrO2: relaxed, PBE.

The calculation puts the spin magnetization at 0.0 μB per cell. The calculation puts the total energy at -5.388 eV/atom.

The space group is Cm (No. 8) and the conventional cell measures 12.8657, 3.6529 and 9.9741 Å, with angles of 90.00, 129.96 and 90.00 degrees. Symmetry generates all atoms from Tm at (0.0000, 0.0000, 0.0000), Tm at (0.1539, 0.5000, 0.8982), Cd at (0.3102, 0.5000, 0.4510), I at (0.4122, 0.0000, 0.1987), Br at (0.2572, 0.0000, 0.7423), O at (0.0450, 0.0000, 0.8269) and O at (0.1070, 0.5000, 0.0669).

---

Na2Cu2SiGe: relaxed, PBE.

The calculation puts the total energy at -3.369 eV/atom.

The space group is Cm (No. 8) and the conventional cell measures 10.0270, 4.2541 and 7.0245 Å, with angles of 90.00, 134.39 and 90.00 degrees. Symmetry generates all atoms from Na at (0.0000, 0.0000, 0.0000), Na at (0.1332, 0.0000, 0.6294), Cu at (0.3982, 0.0000, 0.2109), Cu at (0.4209, 0.0000, 0.6136), Si at (0.2345, 0.5000, 0.0565) and Ge at (0.2320, 0.5000, 0.4087).

---

LaAgTe3Pb: relaxed, PBE.

The calculation puts the spin magnetization at 0.0 μB per cell. The calculation puts the total energy at -4.281 eV/atom.

The space group is Pnma (No. 62) and the conventional cell measures 11.7221, 4.4669 and 14.8582 Å, with angles of 90.00, 90.00 and 90.00 degrees. Symmetry generates all atoms from La at (0.0181, 0.2500, 0.2404), Ag at (0.2371, 0.2500, 0.7238), Te at (0.0444, 0.2500, 0.6071), Te at (0.0884, 0.7500, 0.0951), Te at (0.2371, 0.7500, 0.8438) and Pb at (0.2177, 0.7500, 0.5125).

---

LaZrAs: relaxed, PBE.

The calculation puts the spin magnetization at 0.1 μB per cell. The calculation puts the total energy at -5.991 eV/atom.

The space group is F-43m (No. 216) and the conventional cell measures 6.6867, 6.6867 and 6.6867 Å, with angles of 90.00, 90.00 and 90.00 degrees. Symmetry generates all atoms from La at (0.0000, 0.0000, 0.0000), Zr at (0.2500, 0.2500, 0.7500) and As at (0.0000, 0.0000, 0.5000).

---

Which formula does entry 1 have?
BeNbNiAg

---

Look up the total energy of the eighth one.
-5.991 eV/atom

---

Among the records above, which one has the lowest total energy?
NpPa3N6

---

Please write out number 8 again, unchanged.
LaZrAs: relaxed, PBE.

The calculation puts the spin magnetization at 0.1 μB per cell. The calculation puts the total energy at -5.991 eV/atom.

The space group is F-43m (No. 216) and the conventional cell measures 6.6867, 6.6867 and 6.6867 Å, with angles of 90.00, 90.00 and 90.00 degrees. Symmetry generates all atoms from La at (0.0000, 0.0000, 0.0000), Zr at (0.2500, 0.2500, 0.7500) and As at (0.0000, 0.0000, 0.5000).